# CaAg2Os (PBE, optimized geometry)
data_CaAg2Os
_space_group_name_H-M_alt 'P m m m'
_space_group_IT_number 47
_cell_length_a 3.071
_cell_length_b 4.862
_cell_length_c 4.996
_cell_angle_alpha 90.00
_cell_angle_beta 90.00
_cell_angle_gamma 90.00
loop_
_space_group_symop_operation_xyz
'x,y,z'
'-x,-y,-z'
'-x,-y,z'
'x,y,-z'
'x,-y,-z'
'-x,y,z'
'-x,y,-z'
'x,-y,z'
loop_
_atom_site_label
_atom_site_fract_x
_atom_site_fract_y
_atom_site_fract_z
Ca1 0.000 0.000 0.000
Ag1 0.000 0.500 0.500
Ag2 0.500 0.000 0.500
Os1 0.500 0.500 0.000
# **Total magnetization**: 0.00 μB/f.u.
# **Energy above the most stable polymorph in this dataset**: 91 meV/atom

# NaBrN3 (PBE, optimized geometry)
data_NaBrN3
_space_group_name_H-M_alt 'P m -3 m'
_space_group_IT_number 221
_space_group_name_Hall '-P 4 2 3'
_cell_length_a 4.611
_cell_length_b 4.611
_cell_length_c 4.611
_cell_angle_alpha 90.00
_cell_angle_beta 90.00
_cell_angle_gamma 90.00
loop_
_atom_site_label
_atom_site_fract_x
_atom_site_fract_y
_atom_site_fract_z
Na1 0.000 0.000 0.000
Br1 0.500 0.500 0.500
N1 0.000 0.000 0.500
# **Total magnetization**: 8.32 μB/f.u.

# Sm8Cd2Os (PBE, optimized geometry)
data_Sm8Cd2Os
_space_group_name_H-M_alt 'C 1 2/m 1'
_space_group_IT_number 12
_cell_length_a 17.906
_cell_length_b 5.428
_cell_length_c 7.096
_cell_angle_alpha 90.00
_cell_angle_beta 109.67
_cell_angle_gamma 90.00
loop_
_space_group_symop_operation_xyz
'x,y,z'
'-x,-y,-z'
'-x,y,-z'
'x,-y,z'
'x+1/2,y+1/2,z'
'-x+1/2,-y+1/2,-z'
'-x+1/2,y+1/2,-z'
'x+1/2,-y+1/2,z'
loop_
_atom_site_label
_atom_site_fract_x
_atom_site_fract_y
_atom_site_fract_z
Sm1 0.019 0.000 0.289
Sm2 0.093 0.500 0.918
Sm3 0.152 0.500 0.449
Sm4 0.198 0.000 0.783
Cd1 0.182 0.000 0.203
Os1 0.000 0.500 0.500
# **Total magnetization**: 0.00 μB/f.u.

# AcGeOsO (PBE, optimized geometry)
data_AcGeOsO
_space_group_name_H-M_alt 'P 4/n m m'
_space_group_IT_number 129
_cell_length_a 4.258
_cell_length_b 4.258
_cell_length_c 8.851
_cell_angle_alpha 90.00
_cell_angle_beta 90.00
_cell_angle_gamma 90.00
loop_
_space_group_symop_operation_xyz
'x,y,z'
'-x,-y,-z'
'-y+1/2,x,z'
'y+1/2,-x,-z'
'-x+1/2,-y+1/2,z'
'x+1/2,y+1/2,-z'
'y,-x+1/2,z'
'-y,x+1/2,-z'
'x+1/2,-y,-z'
'-x+1/2,y,z'
'-y,-x,-z'
'y,x,z'
'-x,y+1/2,-z'
'x,-y+1/2,z'
'y+1/2,x+1/2,-z'
'-y+1/2,-x+1/2,z'
loop_
_atom_site_label
_atom_site_fract_x
_atom_site_fract_y
_atom_site_fract_z
Ac1 0.250 0.250 0.143
Ge1 0.250 0.250 0.641
Os1 0.250 0.750 0.500
O1 0.250 0.750 0.000
# **Total magnetization**: 0.00 μB/f.u.

# HPtN2F (PBE, optimized geometry)
data_HPtN2F
_space_group_name_H-M_alt 'P 4/m m m'
_space_group_IT_number 123
_space_group_name_Hall '-P 4 2'
_cell_length_a 3.773
_cell_length_b 3.773
_cell_length_c 4.582
_cell_angle_alpha 90.00
_cell_angle_beta 90.00
_cell_angle_gamma 90.00
loop_
_atom_site_label
_atom_site_fract_x
_atom_site_fract_y
_atom_site_fract_z
H1 0.000 0.000 0.000
Pt1 0.500 0.500 0.500
N1 0.000 0.500 0.500
F1 0.500 0.500 0.000
# **Total magnetization**: 0.94 μB/f.u.
# **Energy above the most stable polymorph in this dataset**: 0 meV/atom

# Ho4ThTl5 (PBE, optimized geometry)
data_Ho4ThTl5
_space_group_name_H-M_alt 'P 4/m m m'
_space_group_IT_number 123
_space_group_name_Hall '-P 4 2'
_cell_length_a 3.593
_cell_length_b 3.593
_cell_length_c 21.245
_cell_angle_alpha 90.00
_cell_angle_beta 90.00
_cell_angle_gamma 90.00
loop_
_atom_site_label
_atom_site_fract_x
_atom_site_fract_y
_atom_site_fract_z
Ho1 0.000 0.000 0.098
Ho2 0.000 0.000 0.295
Th1 0.000 0.000 0.500
Tl1 0.500 0.500 0.000
Tl2 0.500 0.500 0.196
Tl3 0.500 0.500 0.392
# **Total magnetization**: 0.11 μB/f.u.

# Sc2SbTe (PBE, optimized geometry)
data_Sc2SbTe
_space_group_name_H-M_alt 'P 4/m m m'
_space_group_IT_number 123
_space_group_name_Hall '-P 4 2'
_cell_length_a 4.160
_cell_length_b 4.160
_cell_length_c 5.890
_cell_angle_alpha 90.00
_cell_angle_beta 90.00
_cell_angle_gamma 90.00
loop_
_atom_site_label
_atom_site_fract_x
_atom_site_fract_y
_atom_site_fract_z
Sc1 0.000 0.000 0.000
Sc2 0.500 0.500 0.500
Sb1 0.000 0.000 0.500
Te1 0.500 0.500 0.000
# **Total magnetization**: 0.00 μB/f.u.
# **Energy above the most stable polymorph in this dataset**: 5 meV/atom

# PmHoTm5Sc2 (PBE, optimized geometry)
data_PmHoTm5Sc2
_space_group_name_H-M_alt 'C m c 21'
_space_group_IT_number 36
_cell_length_a 5.538
_cell_length_b 21.265
_cell_length_c 9.241
_cell_angle_alpha 90.00
_cell_angle_beta 90.00
_cell_angle_gamma 90.00
loop_
_space_group_symop_operation_xyz
'x,y,z'
'-x,-y,z+1/2'
'-x,y,z'
'x,-y,z+1/2'
'x+1/2,y+1/2,z'
'-x+1/2,-y+1/2,z+1/2'
'-x+1/2,y+1/2,z'
'x+1/2,-y+1/2,z+1/2'
loop_
_atom_site_label
_atom_site_fract_x
_atom_site_fract_y
_atom_site_fract_z
Pm1 0.000 0.186 0.000
Ho1 0.000 0.403 0.401
Tm1 0.000 0.009 0.000
Tm2 0.000 0.265 0.318
Tm3 0.000 0.308 0.702
Tm4 0.000 0.392 0.028
Tm5 0.000 0.469 0.730
Sc1 0.000 0.113 0.306
Sc2 0.000 0.140 0.678
# **Total magnetization**: 0.00 μB/f.u.

# GeSbTe3 (PBE, optimized geometry)
data_GeSbTe3
_space_group_name_H-M_alt 'P m m n'
_space_group_IT_number 59
_cell_length_a 4.080
_cell_length_b 8.083
_cell_length_c 10.523
_cell_angle_alpha 90.00
_cell_angle_beta 90.00
_cell_angle_gamma 90.00
loop_
_space_group_symop_operation_xyz
'x,y,z'
'-x,-y,-z'
'-x+1/2,-y+1/2,z'
'x+1/2,y+1/2,-z'
'x+1/2,-y,-z'
'-x+1/2,y,z'
'-x,y+1/2,-z'
'x,-y+1/2,z'
loop_
_atom_site_label
_atom_site_fract_x
_atom_site_fract_y
_atom_site_fract_z
Ge1 0.250 0.250 0.155
Sb1 0.250 0.250 0.514
Te1 0.250 0.508 0.319
Te2 0.250 0.750 0.008
# **Total magnetization**: 0.00 μB/f.u.
# **Energy above the most stable polymorph in this dataset**: 97 meV/atom

# Ta6Nb2Rh (PBE, optimized geometry)
data_Ta6Nb2Rh
_space_group_name_H-M_alt 'C 1 2/m 1'
_space_group_IT_number 12
_cell_length_a 14.274
_cell_length_b 2.756
_cell_length_c 10.094
_cell_angle_alpha 90.00
_cell_angle_beta 124.14
_cell_angle_gamma 90.00
loop_
_space_group_symop_operation_xyz
'x,y,z'
'-x,-y,-z'
'-x,y,-z'
'x,-y,z'
'x+1/2,y+1/2,z'
'-x+1/2,-y+1/2,-z'
'-x+1/2,y+1/2,-z'
'x+1/2,-y+1/2,z'
loop_
_atom_site_label
_atom_site_fract_x
_atom_site_fract_y
_atom_site_fract_z
Ta1 0.052 0.000 0.270
Ta2 0.114 0.500 0.052
Ta3 0.223 0.000 0.607
Nb1 0.164 0.500 0.817
Rh1 0.000 0.000 0.500
# **Total magnetization**: 0.00 μB/f.u.
# **Energy above the most stable polymorph in this dataset**: 43 meV/atom

# NiTeOs2 (PBE, optimized geometry)
data_NiTeOs2
_space_group_name_H-M_alt 'P 1 2/m 1'
_space_group_IT_number 10
_cell_length_a 3.037
_cell_length_b 4.548
_cell_length_c 4.615
_cell_angle_alpha 90.00
_cell_angle_beta 95.09
_cell_angle_gamma 90.00
loop_
_space_group_symop_operation_xyz
'x,y,z'
'-x,-y,-z'
'-x,y,-z'
'x,-y,z'
loop_
_atom_site_label
_atom_site_fract_x
_atom_site_fract_y
_atom_site_fract_z
Ni1 0.000 0.000 0.000
Te1 0.500 0.000 0.500
Os1 0.203 0.500 0.765
# **Total magnetization**: 0.00 μB/f.u.

# LaThZr2 (PBE, optimized geometry)
data_LaThZr2
_space_group_name_H-M_alt 'P 4/m m m'
_space_group_IT_number 123
_space_group_name_Hall '-P 4 2'
_cell_length_a 3.999
_cell_length_b 3.999
_cell_length_c 7.256
_cell_angle_alpha 90.00
_cell_angle_beta 90.00
_cell_angle_gamma 90.00
loop_
_atom_site_label
_atom_site_fract_x
_atom_site_fract_y
_atom_site_fract_z
La1 0.000 0.000 0.000
Th1 0.000 0.000 0.500
Zr1 0.500 0.500 0.291
# **Total magnetization**: 0.00 μB/f.u.
# **Energy above the most stable polymorph in this dataset**: 0 meV/atom

# Nd8Ge3BiTe4 (PBE, optimized geometry)
data_Nd8Ge3BiTe4
_space_group_name_H-M_alt 'R -3 m'
_space_group_IT_number 166
_space_group_name_Hall '-R 3 2"'
_cell_length_a 8.8755
_cell_length_b 8.8755
_cell_length_c 22.0373
_cell_angle_alpha 90.00
_cell_angle_beta 90.00
_cell_angle_gamma 120.00
loop_
_atom_site_label
_atom_site_fract_x
_atom_site_fract_y
_atom_site_fract_z
Nd1 0.0000 0.0000 0.2415
Nd2 0.0125 0.5062 0.7568
Ge1 0.0000 0.5000 0.5000
Bi1 0.0000 0.0000 0.5000
Te1 0.0000 0.0000 0.0000
Te2 0.0000 0.5000 0.0000
# **Total magnetization**: 0.00 μB/f.u.

# SrNi2Au (PBE, optimized geometry)
data_SrNi2Au
_space_group_name_H-M_alt 'I 41/a m d'
_space_group_IT_number 141
_cell_length_a 4.582
_cell_length_b 4.582
_cell_length_c 17.747
_cell_angle_alpha 90.00
_cell_angle_beta 90.00
_cell_angle_gamma 90.00
loop_
_space_group_symop_operation_xyz
'x,y,z'
'-x,-y,-z'
'-y+1/4,x+3/4,z+1/4'
'y+1/4,-x+3/4,-z+1/4'
'-x+1/2,-y,z+1/2'
'x+1/2,y,-z+1/2'
'y+1/4,-x+1/4,z+3/4'
'-y+1/4,x+1/4,-z+3/4'
'x,-y,-z'
'-x,y,z'
'-y+1/4,-x+1/4,-z+3/4'
'y+1/4,x+1/4,z+3/4'
'-x+1/2,y,-z+1/2'
'x+1/2,-y,z+1/2'
'y+1/4,x+3/4,-z+1/4'
'-y+1/4,-x+3/4,z+1/4'
'x+1/2,y+1/2,z+1/2'
'-x+1/2,-y+1/2,-z+1/2'
'-y+3/4,x+1/4,z+3/4'
'y+3/4,-x+1/4,-z+3/4'
'-x,-y+1/2,z'
'x,y+1/2,-z'
'y+3/4,-x+3/4,z+1/4'
'-y+3/4,x+3/4,-z+1/4'
'x+1/2,-y+1/2,-z+1/2'
'-x+1/2,y+1/2,z+1/2'
'-y+3/4,-x+3/4,-z+1/4'
'y+3/4,x+3/4,z+1/4'
'-x,y+1/2,-z'
'x,-y+1/2,z'
'y+3/4,x+1/4,-z+3/4'
'-y+3/4,-x+1/4,z+3/4'
loop_
_atom_site_label
_atom_site_fract_x
_atom_site_fract_y
_atom_site_fract_z
Sr1 0.000 0.250 0.375
Ni1 0.000 0.000 0.000
Au1 0.000 0.250 0.875
# **Total magnetization**: 0.83 μB/f.u.

# KTb2Ho (PBE, optimized geometry)
data_KTb2Ho
_space_group_name_H-M_alt 'R -3 m'
_space_group_IT_number 166
_space_group_name_Hall '-R 3 2"'
_cell_length_a 3.5813
_cell_length_b 3.5813
_cell_length_c 39.6578
_cell_angle_alpha 90.00
_cell_angle_beta 90.00
_cell_angle_gamma 120.00
loop_
_atom_site_label
_atom_site_fract_x
_atom_site_fract_y
_atom_site_fract_z
K1 0.0000 0.0000 0.0000
Tb1 0.0000 0.0000 0.0960
Ho1 0.0000 0.0000 0.5000
# **Total magnetization**: 0.00 μB/f.u.

# CrSi2Ir (PBE, optimized geometry)
data_CrSi2Ir
_space_group_name_H-M_alt 'P m m m'
_space_group_IT_number 47
_cell_length_a 2.776
_cell_length_b 3.770
_cell_length_c 5.179
_cell_angle_alpha 90.00
_cell_angle_beta 90.00
_cell_angle_gamma 90.00
loop_
_space_group_symop_operation_xyz
'x,y,z'
'-x,-y,-z'
'-x,-y,z'
'x,y,-z'
'x,-y,-z'
'-x,y,z'
'-x,y,-z'
'x,-y,z'
loop_
_atom_site_label
_atom_site_fract_x
_atom_site_fract_y
_atom_site_fract_z
Cr1 0.000 0.000 0.000
Si1 0.500 0.500 0.227
Ir1 0.500 0.000 0.500
# **Total magnetization**: 0.97 μB/f.u.

# Lu4B6O15 (PBE, optimized geometry)
data_Lu4B6O15
_space_group_name_H-M_alt 'C 1 2/c 1'
_space_group_IT_number 15
_cell_length_a 11.557
_cell_length_b 4.366
_cell_length_c 18.610
_cell_angle_alpha 90.00
_cell_angle_beta 96.11
_cell_angle_gamma 90.00
loop_
_space_group_symop_operation_xyz
'x,y,z'
'-x,-y,-z'
'-x,y,-z+1/2'
'x,-y,z+1/2'
'x+1/2,y+1/2,z'
'-x+1/2,-y+1/2,-z'
'-x+1/2,y+1/2,-z+1/2'
'x+1/2,-y+1/2,z+1/2'
loop_
_atom_site_label
_atom_site_fract_x
_atom_site_fract_y
_atom_site_fract_z
Lu1 0.136 0.195 0.100
Lu2 0.137 0.205 0.302
B1 0.070 0.274 0.694
B2 0.096 0.295 0.913
B3 0.168 0.189 0.475
O1 0.000 0.131 0.750
O2 0.017 0.175 0.621
O3 0.068 0.398 0.197
O4 0.084 0.369 0.428
O5 0.126 0.124 0.981
O6 0.181 0.252 0.861
O7 0.185 0.132 0.704
O8 0.208 0.301 0.550
# **Total magnetization**: 0.00 μB/f.u.
# **Energy above the most stable polymorph in this dataset**: 0 meV/atom

# NaFe2Re (PBE, optimized geometry)
data_NaFe2Re
_space_group_name_H-M_alt 'I -4 2 d'
_space_group_IT_number 122
_space_group_name_Hall 'I -4 2bw'
_cell_length_a 6.724
_cell_length_b 6.724
_cell_length_c 5.531
_cell_angle_alpha 90.00
_cell_angle_beta 90.00
_cell_angle_gamma 90.00
loop_
_atom_site_label
_atom_site_fract_x
_atom_site_fract_y
_atom_site_fract_z
Na1 0.000 0.000 0.000
Fe1 0.203 0.750 0.625
Re1 0.000 0.000 0.500
# **Total magnetization**: 0.00 μB/f.u.
# **Energy above the most stable polymorph in this dataset**: 355 meV/atom

# Sm3YTmSc (PBE, optimized geometry)
data_Sm3YTmSc
_space_group_name_H-M_alt 'P 1 21/m 1'
_space_group_IT_number 11
_cell_length_a 7.873
_cell_length_b 5.026
_cell_length_c 10.011
_cell_angle_alpha 90.00
_cell_angle_beta 108.61
_cell_angle_gamma 90.00
loop_
_space_group_symop_operation_xyz
'x,y,z'
'-x,-y,-z'
'-x,y+1/2,-z'
'x,-y+1/2,z'
loop_
_atom_site_label
_atom_site_fract_x
_atom_site_fract_y
_atom_site_fract_z
Sm1 0.170 0.250 0.044
Sm2 0.173 0.750 0.790
Sm3 0.176 0.250 0.542
Y1 0.175 0.750 0.297
Tm1 0.499 0.750 0.127
Sc1 0.499 0.250 0.378
# **Total magnetization**: 0.00 μB/f.u.

# Li3Sb3Pb (PBE, optimized geometry)
data_Li3Sb3Pb
_space_group_name_H-M_alt 'P m -3 n'
_space_group_IT_number 223
_space_group_name_Hall '-P 4n 2 3'
_cell_length_a 7.325
_cell_length_b 7.325
_cell_length_c 7.325
_cell_angle_alpha 90.00
_cell_angle_beta 90.00
_cell_angle_gamma 90.00
loop_
_atom_site_label
_atom_site_fract_x
_atom_site_fract_y
_atom_site_fract_z
Li1 0.000 0.250 0.500
Sb1 0.000 0.500 0.250
Pb1 0.000 0.000 0.000
# **Total magnetization**: 0.00 μB/f.u.

Looking at electronic total energy for the records above, in order, we have -4.20 -2.87 -4.75 -7.70 -4.26 -4.04 -6.03 -4.76 -3.60 -10.81 -7.07 -7.22 -5.50 -4.14 -3.50 -7.56 -8.26 -6.53 -5.20 -2.89 eV per atom.